# 1
Compound: KZn2GeCl
Source: Alexandria via LeMat-Bulk
Functional: PBE-GGA
Structure: relaxed

Geometry as POSCAR:
```
KZn2GeCl
1.0
5.223 0.000 0.000
0.000 5.446 0.000
0.000 0.000 5.223
K Zn Ge Cl
1 2 1 1
Cartesian
0.000 2.723 0.000
0.000 0.000 2.611
2.611 0.000 0.000
2.611 2.723 2.611
0.000 0.000 0.000
```

Calculated values
Space group: No. 123
Excess energy over the best structure of this formula in the dataset (eV per atom): 0.0000
Raw total energy (eV/atom): -1.723



# 2
Compound: Na3VRh2S6
Source: Alexandria via LeMat-Bulk
Functional: PBE-GGA
Structure: relaxed

Geometry as POSCAR:
```
Na3VRh2S6
1.0
-3.849 -4.681 1.603
6.047 -0.214 1.638
-2.107 4.633 4.388
S Rh Na V
6 2 3 1
Cartesian
1.660 0.735 6.024
-1.568 -0.997 1.605
1.776 0.512 1.617
-1.684 -0.775 6.012
-1.096 2.392 4.416
1.187 -2.655 3.214
-0.550 -3.192 1.615
2.748 -1.704 1.626
0.046 -0.131 3.815
-3.244 -1.616 3.803
3.335 1.354 3.826
0.000 0.000 0.000
```

Calculated values
Space group: No. 12
Raw total energy (eV/atom): -5.191



# 3
Compound: Ag2POs
Source: Alexandria via LeMat-Bulk
Functional: PBE-GGA
Structure: relaxed

Geometry as POSCAR:
```
Ag2POs
1.0
-3.405 3.366 -4.853
-5.909 -0.355 -3.381
3.970 0.250 5.537
Ag Os P
2 1 1
Cartesian
-0.604 0.195 -0.534
-4.053 1.310 -3.583
-2.046 2.561 -1.717
-3.298 0.700 -0.981
```

Calculated values
Space group: No. 71
ΔH_f (0 K) (eV/atom): 0.398
Raw total energy (eV/atom): -5.187



# 4
Compound: K4Ce3PrS8
Source: Alexandria via LeMat-Bulk
Functional: PBE-GGA
Structure: relaxed

Geometry as POSCAR:
```
K4Ce3PrS8
1.0
-2.074 1.565 -8.033
7.409 -3.991 -2.690
-5.311 -4.281 4.973
Ce S K Pr
3 8 4 1
Cartesian
1.049 -4.136 1.142
2.668 -1.213 -5.361
0.012 -3.354 -2.875
-1.180 -3.028 -0.285
2.233 -4.478 -1.449
0.430 -0.101 -6.772
-1.436 -5.829 -2.969
-2.209 -2.229 -4.300
-0.405 -6.606 1.022
1.205 -3.679 -5.464
1.461 -0.878 -2.780
-1.037 0.782 -4.016
-2.655 -2.141 2.487
0.000 0.000 0.000
-3.692 -1.358 -1.530
3.705 -1.995 -1.345
```

Calculated values
Space group: No. 166
Raw total energy (eV/atom): -5.552



# 5
Compound: LiSmCd3
Source: Alexandria via LeMat-Bulk
Functional: PBE-GGA
Structure: relaxed

Geometry as POSCAR:
```
LiSmCd3
1.0
5.576 0.000 0.000
0.000 5.945 -3.431
0.000 -0.001 6.864
Cd Li Sm
6 2 2
Cartesian
4.182 3.712 3.433
1.394 4.829 -1.498
4.182 1.116 1.933
4.182 1.116 4.931
1.394 4.829 1.500
1.394 2.232 0.001
0.000 0.000 0.000
2.788 0.000 0.000
1.394 1.982 3.432
4.182 3.963 0.001
```

Calculated values
Space group: No. 194
ΔH_f (0 K) (eV/atom): -0.223
Excess energy over the best structure of this formula in the dataset (eV per atom): 0.0000
Raw total energy (eV/atom): -2.099



# 6
Compound: KSrLiH2
Source: Alexandria via LeMat-Bulk
Functional: PBE-GGA
Structure: relaxed

Geometry as POSCAR:
```
KSrLiH2
1.0
4.863 0.000 0.000
0.000 7.058 0.000
0.000 0.000 4.863
H Li K Sr
2 1 1 1
Cartesian
0.000 0.000 2.431
2.431 0.000 0.000
0.000 3.529 0.000
2.431 3.529 2.431
0.000 0.000 0.000
```

Calculated values
Space group: No. 123
Raw total energy (eV/atom): -2.173



# 7
Compound: TlIn2CuAg
Source: Alexandria via LeMat-Bulk
Functional: PBE-GGA
Structure: relaxed

Geometry as POSCAR:
```
TlIn2CuAg
1.0
5.032 0.000 0.000
0.000 5.032 0.000
0.000 0.000 5.086
Tl Ag Cu In
1 1 1 2
Cartesian
2.516 2.516 2.543
0.000 0.000 2.543
0.000 0.000 0.000
2.516 0.000 0.000
0.000 2.516 0.000
```

Calculated values
Space group: No. 123
ΔH_f (0 K) (eV/atom): 0.179
Raw total energy (eV/atom): -2.779



# 8
Compound: MnInSe
Source: Alexandria via LeMat-Bulk
Functional: PBE-GGA
Structure: relaxed

Geometry as POSCAR:
```
MnInSe
1.0
6.266 -0.011 0.012
5.354 3.256 0.000
0.912 0.268 3.256
In Se Mn
1 1 1
Cartesian
11.395 3.183 0.080
8.611 2.409 0.923
4.147 1.167 2.276
```

Calculated values
Space group: No. 107
Excess energy over the best structure of this formula in the dataset (eV per atom): 0.0267
Raw total energy (eV/atom): -5.186



# 9
Compound: Tb2YZn
Source: Alexandria via LeMat-Bulk
Functional: PBE-GGA
Structure: relaxed

Geometry as POSCAR:
```
Tb2YZn
1.0
-2.955 0.945 -1.994
-1.835 -4.908 0.394
-0.377 3.405 5.582
Zn Tb Y
1 2 1
Cartesian
-1.478 0.472 -0.997
-3.993 -1.162 1.956
-1.174 0.603 2.026
-0.918 -2.454 0.197
```

Calculated values
Space group: No. 71
ΔH_f (0 K) (eV/atom): -0.157
Excess energy over the best structure of this formula in the dataset (eV per atom): 0.0043
Raw total energy (eV/atom): -4.406



# 10
Compound: Sc2Si5Ir3
Source: Alexandria via LeMat-Bulk
Functional: PBE-GGA
Structure: relaxed

Geometry as POSCAR:
```
Sc2Si5Ir3
1.0
3.987 0.000 -0.679
0.000 6.546 0.000
-0.022 0.000 11.913
Si Ir Sc
10 6 4
Cartesian
1.567 2.485 9.200
0.187 3.774 1.096
2.816 0.101 4.492
1.148 3.374 6.742
3.504 5.025 8.530
2.398 5.758 2.034
3.778 0.501 10.138
2.809 2.907 4.446
1.156 6.179 6.787
0.460 1.752 2.703
1.554 0.047 9.120
2.411 3.320 2.113
3.088 4.763 6.087
3.751 3.020 9.977
0.877 1.490 5.147
0.214 6.293 1.257
1.899 4.837 11.146
3.274 1.612 7.179
0.691 4.884 4.054
2.066 1.564 0.087
```

Calculated values
Space group: No. 36
Raw total energy (eV/atom): -7.498



# 11
Compound: ZnBNCl2
Source: Alexandria via LeMat-Bulk
Functional: PBE-GGA
Structure: relaxed

Geometry as POSCAR:
```
ZnBNCl2
1.0
4.620 0.000 0.000
0.000 4.225 0.000
0.000 0.000 4.620
Cl Zn B N
2 1 1 1
Cartesian
0.000 0.000 2.310
2.310 0.000 0.000
0.000 2.112 0.000
0.000 0.000 0.000
2.310 2.112 2.310
```

Calculated values
Space group: No. 123
Raw total energy (eV/atom): -2.721



# 12
Compound: Ac2InPbAu6
Source: Alexandria via LeMat-Bulk
Functional: PBE-GGA
Structure: relaxed

Geometry as POSCAR:
```
Ac2InPbAu6
1.0
-5.296 -0.323 5.243
5.178 -1.574 5.134
0.566 4.202 6.137
Au Ac In Pb
6 2 1 1
Cartesian
0.189 0.637 10.843
0.477 2.771 13.961
2.601 -1.266 5.160
-0.029 -0.467 2.553
-2.720 -0.631 5.216
0.258 1.668 5.670
-2.395 1.465 8.284
2.842 0.840 8.229
0.000 0.000 0.000
-0.059 -0.949 5.188
```

Calculated values
Space group: No. 225
ΔH_f (0 K) (eV/atom): -0.155
Raw total energy (eV/atom): -3.588



# 13
Compound: KAgBi3
Source: Alexandria via LeMat-Bulk
Functional: PBE-GGA
Structure: relaxed

Geometry as POSCAR:
```
KAgBi3
1.0
5.668 0.000 0.000
0.000 5.668 0.000
0.000 0.000 5.668
Bi Ag K
3 1 1
Cartesian
0.000 0.000 2.834
0.000 2.834 0.000
2.834 0.000 0.000
0.000 0.000 0.000
2.834 2.834 2.834
```

Calculated values
Space group: No. 221
ΔH_f (0 K) (eV/atom): 0.167
Excess energy over the best structure of this formula in the dataset (eV per atom): 0.0000
Raw total energy (eV/atom): -2.951



# 14
Compound: MnAl4Cu3
Source: Alexandria via LeMat-Bulk
Functional: PBE-GGA
Structure: relaxed

Geometry as POSCAR:
```
MnAl4Cu3
1.0
-2.673 -0.395 0.736
0.835 -1.176 2.401
-0.144 12.242 6.045
Al Cu Mn
4 3 1
Cartesian
-0.054 4.570 2.256
-0.126 10.729 5.298
-0.018 1.513 0.747
-0.090 7.672 3.788
-0.991 5.335 4.591
-0.955 2.274 3.079
-1.027 8.397 6.103
-0.919 -0.785 1.569
```

Calculated values
Space group: No. 123
ΔH_f (0 K) (eV/atom): -0.194
Raw total energy (eV/atom): -4.748



# 15
Compound: VFe2Ge
Source: Alexandria via LeMat-Bulk
Functional: PBE-GGA
Structure: relaxed

Geometry as POSCAR:
```
VFe2Ge
1.0
6.569 0.000 0.000
0.000 6.569 0.000
3.284 3.284 2.539
Fe V Ge
4 2 2
Cartesian
8.211 8.097 1.904
4.927 5.041 1.904
1.756 4.927 0.635
4.812 1.642 0.635
3.284 6.569 1.269
3.284 3.284 0.000
0.000 0.000 0.000
6.569 3.284 1.269
```

Calculated values
Space group: No. 122
ΔH_f (0 K) (eV/atom): 0.388
Raw total energy (eV/atom): -7.277



# 16
Compound: LaTlOs2
Source: Alexandria via LeMat-Bulk
Functional: PBE-GGA
Structure: relaxed

Geometry as POSCAR:
```
LaTlOs2
1.0
4.055 0.000 0.000
0.000 4.449 0.000
0.000 0.000 4.449
La Tl Os
1 1 2
Cartesian
2.027 0.000 2.225
2.027 2.225 0.000
0.000 2.225 2.225
0.000 0.000 0.000
```

Calculated values
Space group: No. 123
ΔH_f (0 K) (eV/atom): 0.660
Excess energy over the best structure of this formula in the dataset (eV per atom): 0.3896
Raw total energy (eV/atom): -6.778



# 17
Compound: RbMnCo3
Source: Alexandria via LeMat-Bulk
Functional: PBE-GGA
Structure: relaxed

Geometry as POSCAR:
```
RbMnCo3
1.0
4.585 0.000 0.000
0.000 4.585 0.000
0.000 0.000 4.585
Co Rb Mn
3 1 1
Cartesian
0.000 2.293 0.000
2.293 0.000 0.000
0.000 0.000 2.293
0.000 0.000 0.000
2.293 2.293 2.293
```

Calculated values
Space group: No. 221
ΔH_f (0 K) (eV/atom): 2.561
Excess energy over the best structure of this formula in the dataset (eV per atom): 1.2135
Raw total energy (eV/atom): -3.730



# 18
Compound: Ba2CeNdSe6
Source: Alexandria via LeMat-Bulk
Functional: PBE-GGA
Structure: relaxed

Geometry as POSCAR:
```
Ba2CeNdSe6
1.0
7.541 0.000 -0.078
0.000 8.101 0.000
-0.042 0.000 10.977
Se Ce Nd Ba
12 2 2 4
Cartesian
2.947 7.870 8.242
1.483 1.575 0.560
1.404 1.659 4.848
6.739 4.281 2.715
5.233 2.476 6.010
2.346 5.709 0.602
0.761 3.820 8.184
5.154 2.392 10.297
6.096 6.442 6.052
6.016 6.526 10.339
2.267 5.625 4.889
4.552 0.230 2.657
-0.021 4.050 5.488
3.771 0.000 -0.039
0.000 4.050 0.000
3.750 0.000 5.450
0.207 7.456 2.719
3.543 3.406 2.730
7.293 0.645 8.180
3.957 4.695 8.169
```

Calculated values
Space group: No. 14
Raw total energy (eV/atom): -5.245



# 19
Compound: Si2AsIr
Source: Alexandria via LeMat-Bulk
Functional: PBE-GGA
Structure: relaxed

Geometry as POSCAR:
```
Si2AsIr
1.0
-1.524 -0.417 -3.943
3.970 -1.193 -1.408
1.193 -4.212 -0.016
Ir Si As
1 2 1
Cartesian
3.350 -4.514 -3.106
4.902 -5.134 -1.352
0.011 -1.017 -2.185
3.118 -3.265 -0.860
```

Calculated values
Space group: No. 38
Raw total energy (eV/atom): -6.281



# 20
Compound: Er4TeS5
Source: Alexandria via LeMat-Bulk
Functional: PBE-GGA
Structure: relaxed

Geometry as POSCAR:
```
Er4TeS5
1.0
-3.789 1.017 -0.756
-2.530 -7.539 2.541
1.889 4.594 7.269
S Er Te
5 4 1
Cartesian
-2.236 -5.028 4.446
-3.160 -3.261 0.892
-2.195 3.099 4.608
-3.611 -1.151 5.990
-0.820 -0.777 3.063
-2.200 -3.364 6.502
-3.722 0.127 8.269
-2.231 1.435 2.552
-0.708 -2.055 0.785
-1.895 0.508 -0.378
```

Calculated values
Space group: No. 12
Raw total energy (eV/atom): -6.058



# 21
Compound: BeIrOs3
Source: Alexandria via LeMat-Bulk
Functional: PBE-GGA
Structure: relaxed

Geometry as POSCAR:
```
BeIrOs3
1.0
4.700 0.000 0.000
0.000 4.700 0.000
0.000 0.000 4.700
Be Os Ir
1 3 1
Cartesian
2.350 2.350 2.350
0.000 2.350 0.000
0.000 0.000 2.350
2.350 0.000 0.000
0.000 0.000 0.000
```

Calculated values
Space group: No. 221
ΔH_f (0 K) (eV/atom): 2.659
Excess energy over the best structure of this formula in the dataset (eV per atom): 1.9594
Raw total energy (eV/atom): -6.597



# 22
Compound: AgGePO2
Source: Alexandria via LeMat-Bulk
Functional: PBE-GGA
Structure: relaxed

Geometry as POSCAR:
```
AgGePO2
1.0
-3.162 -1.105 2.197
-0.829 -2.890 -2.647
2.861 -3.144 2.536
O Ge Ag P
2 1 1 1
Cartesian
-1.581 -0.553 1.098
-0.415 -1.445 -1.324
-0.565 -3.569 1.043
0.000 0.000 0.000
1.430 -1.572 1.268
```

Calculated values
Space group: No. 123
Excess energy over the best structure of this formula in the dataset (eV per atom): 0.8107
Raw total energy (eV/atom): -3.967



# 23
Compound: Gd3SiBr3
Source: Alexandria via LeMat-Bulk
Functional: PBE-GGA
Structure: relaxed

Geometry as POSCAR:
```
Gd3SiBr3
1.0
10.172 0.000 0.000
-3.391 9.590 0.000
-3.391 -4.795 8.305
Gd Br Si
12 12 4
Cartesian
2.543 0.000 0.192
2.386 7.137 0.096
-1.004 -1.088 6.229
2.543 0.000 3.961
-4.082 1.088 6.229
-0.691 2.453 0.096
-0.848 2.231 4.057
5.934 1.033 2.172
-0.848 -1.033 2.172
-0.691 6.049 1.980
2.386 3.541 1.980
5.934 -2.231 4.057
4.171 -1.223 6.270
4.238 5.922 6.188
4.238 2.469 4.194
0.848 4.795 8.223
0.915 1.223 6.270
7.562 3.644 2.076
-2.543 7.121 4.194
0.848 4.795 4.235
4.171 2.374 8.264
4.306 5.946 2.076
0.915 -2.374 8.264
-2.543 3.668 6.188
0.848 1.199 2.076
4.238 -1.199 2.076
0.848 4.795 0.000
-2.543 0.000 4.153
```

Calculated values
Space group: No. 214
Raw total energy (eV/atom): -8.931